1.
AuC2 | the Alexandria database | PBE | relaxed; excess energy over the best structure of this formula in the dataset = 2158 meV/atom; E_form = 2.42 eV/atom
1.0
1.294 -9.074 0.000
1.294 9.074 0.000
0.000 0.000 3.200
Au C
2 4
Cartesian
1.294 5.780 0.000
1.294 -5.780 0.000
0.000 0.000 1.600
1.294 1.004 1.600
1.294 0.000 0.000
1.294 -1.004 1.600

---

2.
CdSn2Pt | the Alexandria database | PBE | relaxed; E_form = -0.17 eV/atom
1.0
3.318 0.000 0.000
0.000 3.318 0.000
0.000 0.000 8.416
Cd Sn Pt
1 2 1
Cartesian
0.000 0.000 0.000
1.659 1.659 2.506
1.659 1.659 5.910
0.000 0.000 4.208

---

3.
Zr7AlTl3 | the Alexandria database | PBE | relaxed; E_form = 0.15 eV/atom
1.0
-2.660 4.651 5.311
2.660 -4.651 5.311
2.660 4.651 -5.311
Zr Al Tl
7 1 3
Cartesian
0.000 0.000 0.000
2.660 -1.552 2.733
2.660 2.795 0.000
2.660 1.552 2.733
0.000 3.098 2.578
0.000 1.855 5.311
0.000 6.203 2.578
2.660 0.000 0.000
0.000 0.000 2.901
0.000 4.651 0.000
0.000 0.000 7.721

---

4.
PmNi9Sb2 | the Alexandria database | PBE | relaxed; uncorrected formation energy = -0.15 eV/atom
1.0
2.474 1.428 7.990
-2.474 1.428 7.990
0.000 -2.857 7.990
Pm Ni Sb
1 9 2
Cartesian
0.000 0.000 0.000
-1.248 -0.720 10.013
0.000 0.000 7.996
0.000 -1.441 13.956
-1.248 0.720 13.956
0.000 0.000 11.985
1.248 -0.720 10.013
0.000 1.441 10.013
0.000 0.000 15.973
1.248 0.720 13.956
0.000 0.000 3.226
0.000 0.000 20.743

---

5.
CdFeSbTe2 | the Alexandria database | PBE | relaxed; uncorrected formation energy = 0.36 eV/atom; excess energy over the best structure of this formula in the dataset = 0 meV/atom
1.0
5.221 0.000 0.000
0.000 5.221 0.000
0.000 0.000 4.986
Cd Fe Sb Te
1 1 1 2
Cartesian
0.000 0.000 0.000
2.610 2.610 2.493
2.610 2.610 0.000
0.000 2.610 2.493
2.610 0.000 2.493

---

6.
Ac4AgPd12 | the Alexandria database | PBE | relaxed; E_form = -0.73 eV/atom
1.0
-4.432 4.432 4.432
4.432 -4.432 4.432
4.432 4.432 -4.432
Ac Ag Pd
4 1 12
Cartesian
2.216 2.216 -2.216
2.216 -2.216 2.216
-2.216 2.216 2.216
2.216 2.216 2.216
0.000 0.000 0.000
2.711 0.000 0.000
6.154 0.000 0.000
4.432 2.216 0.000
4.432 0.000 2.216
0.000 2.711 0.000
0.000 0.000 2.711
2.216 4.432 0.000
2.216 0.000 4.432
0.000 6.154 0.000
0.000 0.000 6.154
0.000 4.432 2.216
0.000 2.216 4.432

---

7.
K2ScCd | the Alexandria database | PBE | relaxed; E_form = 0.45 eV/atom
1.0
0.000 4.140 4.140
4.140 0.000 4.140
4.140 4.140 0.000
K Sc Cd
2 1 1
Cartesian
0.000 0.000 0.000
2.070 2.070 2.070
6.210 6.210 6.210
4.140 4.140 4.140

---

8.
ReAs2Rh | the Alexandria database | PBE | relaxed; excess energy over the best structure of this formula in the dataset = 91 meV/atom; E_form = 0.03 eV/atom
1.0
1.514 0.874 7.787
-1.514 0.874 7.787
0.000 -1.748 7.787
Re As Rh
1 2 1
Cartesian
0.000 0.000 0.000
0.000 0.000 5.872
0.000 0.000 17.490
0.000 0.000 11.681

---

9.
Er4Cd3Tc | the Alexandria database | PBE | relaxed; E_form = -0.26 eV/atom
1.0
3.528 0.000 0.000
0.000 3.528 0.000
0.000 0.000 15.501
Er Cd Tc
4 3 1
Cartesian
0.000 0.000 1.593
0.000 0.000 5.721
0.000 0.000 9.781
0.000 0.000 13.909
1.764 1.764 3.711
1.764 1.764 7.751
1.764 1.764 11.790
1.764 1.764 0.000

---

10.
ZnRe2Se | the Alexandria database | PBE | relaxed; uncorrected formation energy = 0.74 eV/atom; excess energy over the best structure of this formula in the dataset = 539 meV/atom
1.0
1.427 -2.352 0.000
1.427 2.352 0.000
0.000 0.000 9.359
Zn Re Se
1 2 1
Cartesian
0.000 0.000 0.000
1.427 0.000 2.257
1.427 0.000 7.102
0.000 0.000 4.680

---

11.
ScCrRu2C | the Alexandria database | PBE | relaxed; E_form = -0.22 eV/atom
1.0
4.136 0.000 0.000
0.000 4.136 0.000
0.000 0.000 3.928
Sc Cr Ru C
1 1 2 1
Cartesian
0.000 0.000 0.000
2.068 2.068 0.000
0.000 2.068 1.964
2.068 0.000 1.964
2.068 2.068 1.964

---

12.
La2Cr | the Alexandria database | PBE | relaxed; E_form = 0.48 eV/atom
1.0
7.176 0.000 0.000
0.000 7.349 0.000
0.000 0.000 3.522
La Cr
4 2
Cartesian
1.179 1.518 0.000
2.408 5.193 1.761
4.767 2.156 1.761
5.996 5.831 0.000
0.000 3.675 1.761
3.588 0.000 0.000

---

13.
Hf3Tl3Te8Pd | the Alexandria database | PBE | relaxed; uncorrected formation energy = -0.53 eV/atom
1.0
7.107 -4.106 0.000
7.107 4.106 0.000
-4.734 0.000 8.383
Hf Tl Te Pd
3 3 8 1
Cartesian
0.000 0.000 0.000
3.554 2.053 0.000
3.554 -2.053 0.000
1.187 2.053 4.191
1.187 -2.053 4.191
4.740 0.000 4.191
2.368 0.000 1.719
5.939 2.024 1.630
0.038 0.000 6.751
3.541 2.024 6.753
5.939 -2.024 1.630
9.442 0.000 1.631
3.541 -2.024 6.753
7.112 0.000 6.664
7.107 0.000 0.000

---

14.
RbAlTl2In | the Alexandria database | PBE | relaxed; E_form = 0.14 eV/atom
1.0
5.687 0.000 0.000
0.000 5.687 0.000
0.000 0.000 5.467
Rb Al Tl In
1 1 2 1
Cartesian
0.000 0.000 0.000
2.843 2.843 2.733
0.000 2.843 2.733
2.843 0.000 2.733
2.843 2.843 0.000

---

15.
PmY2Ga4 | the Alexandria database | PBE | relaxed; E_form = -0.68 eV/atom
1.0
-2.080 2.157 9.152
2.080 -2.157 9.152
2.080 2.157 -9.152
Pm Y Ga
1 2 4
Cartesian
0.000 0.000 0.000
2.080 0.000 3.379
0.000 2.157 5.773
2.080 0.000 6.458
0.000 0.000 7.919
0.000 0.000 10.386
0.000 2.157 2.695

---

16.
Ce2Sb3PdRh4 | the Alexandria database | PBE | relaxed; uncorrected formation energy = -0.76 eV/atom
1.0
4.123 0.000 0.000
0.000 4.123 0.000
0.000 0.000 12.083
Ce Sb Pd Rh
2 3 1 4
Cartesian
0.000 2.062 2.738
2.062 0.000 9.345
0.000 0.000 0.000
0.000 2.062 7.611
2.062 0.000 4.471
2.062 2.062 0.000
0.000 0.000 6.041
0.000 2.062 10.162
2.062 0.000 1.921
2.062 2.062 6.041

---

17.
Pm5Al4Tl | the Alexandria database | PBE | relaxed; E_form = -0.37 eV/atom
1.0
3.718 0.000 0.000
0.000 3.718 0.000
0.000 0.000 18.901
Pm Al Tl
5 4 1
Cartesian
0.000 0.000 0.000
0.000 0.000 3.659
0.000 0.000 7.361
0.000 0.000 11.540
0.000 0.000 15.242
1.859 1.859 1.833
1.859 1.859 5.517
1.859 1.859 13.384
1.859 1.859 17.068
1.859 1.859 9.451

---

18.
NdHo2Ga2 | the Alexandria database | PBE | relaxed; excess energy over the best structure of this formula in the dataset = 41 meV/atom; E_form = -0.41 eV/atom
1.0
3.222 -3.224 0.000
3.222 3.224 0.000
-3.208 0.000 6.373
Nd Ho Ga
1 2 2
Cartesian
0.000 0.000 0.000
1.618 1.611 3.187
1.618 -1.611 3.187
0.004 0.000 5.144
3.232 0.000 1.229

---

19.
MnAl4V | the Alexandria database | PBE | relaxed; E_form = -0.12 eV/atom
1.0
5.004 0.000 0.000
0.000 6.936 0.000
-0.009 0.000 5.049
Mn Al V
2 8 2
Cartesian
0.000 0.000 0.000
-0.004 3.468 2.525
1.129 1.735 1.261
1.125 1.733 3.785
1.303 4.429 0.000
1.298 5.975 2.525
3.697 0.961 2.525
3.693 2.507 5.049
3.870 5.203 1.264
3.866 5.201 3.789
2.502 0.000 0.000
2.498 3.468 2.525

---

20.
Cu2ReAu | the Alexandria database | PBE | relaxed; excess energy over the best structure of this formula in the dataset = 329 meV/atom; E_form = 0.54 eV/atom
1.0
-1.937 1.937 3.824
1.937 -1.937 3.824
1.937 1.937 -3.824
Cu Re Au
2 1 1
Cartesian
0.000 0.000 0.000
0.000 1.937 1.912
1.937 0.000 1.912
0.000 0.000 3.824

---

no.,calculated volume (Å³ per cell)
1,75.12
2,92.66
3,262.78
4,169.39
5,135.88
6,348.31
7,141.94
8,61.80
9,192.94
10,62.84
11,67.22
12,185.72
13,489.27
14,176.80
15,164.22
16,205.41
17,261.33
18,132.41
19,175.25
20,57.41